Record 1
Entry from Alexandria via LeMat-Bulk: crystalline AlMoRu at its relaxed geometry (PBEsol).

Structure (POSCAR):
```
AlMoRu
1.0
2.933 0.000 0.000
0.000 2.933 0.000
0.000 0.000 9.759
Al Mo Ru
2 2 2
Direct
0.000 0.000 0.000 Al
0.500 0.500 0.500 Al
0.000 0.000 0.679 Mo
0.500 0.500 0.179 Mo
0.000 0.000 0.343 Ru
0.500 0.500 0.843 Ru
```

Values from the calculation:
Energy (eV per atom): -9.041
Calculated formation energy (eV/f.u.): -1.09
Total magnetic moment (μB/f.u.): 0.00

Record 2
Entry from Alexandria via LeMat-Bulk: crystalline SrBeGe2W at its relaxed geometry (PBEsol).

Structure (POSCAR):
```
SrBeGe2W
1.0
4.832 0.000 0.000
0.000 4.832 0.000
0.000 0.000 4.603
Sr Be Ge W
1 1 2 1
Direct
0.000 0.000 0.000 Sr
0.500 0.500 0.000 Be
0.000 0.500 0.500 Ge
0.500 0.000 0.500 Ge
0.500 0.500 0.500 W
```

Values from the calculation:
Energy (eV per atom): -5.851
Calculated formation energy (eV/f.u.): 0.27
Total magnetic moment (μB/f.u.): 0.00

Record 3
Entry from Alexandria via LeMat-Bulk: crystalline Cd2SbAs at its relaxed geometry (PBEsol).

Structure (POSCAR):
```
Cd2SbAs
1.0
6.504 0.000 0.000
0.000 6.504 0.000
0.000 0.000 11.167
Cd Sb As
8 4 4
Direct
0.223 0.250 0.125 Cd
0.250 0.723 0.375 Cd
0.250 0.777 0.875 Cd
0.277 0.250 0.625 Cd
0.723 0.750 0.625 Cd
0.750 0.223 0.875 Cd
0.750 0.277 0.375 Cd
0.777 0.750 0.125 Cd
0.000 0.000 0.500 Sb
0.000 0.500 0.750 Sb
0.500 0.000 0.250 Sb
0.500 0.500 0.000 Sb
0.000 0.000 0.000 As
0.000 0.500 0.250 As
0.500 0.000 0.750 As
0.500 0.500 0.500 As
```

Values from the calculation:
Energy (eV per atom): -2.786
Uncorrected formation energy (meV/atom): 228
Total magnetic moment (μB/f.u.): 0.00
Polymorph energy (0 for the lowest one) (eV per formula unit): 0.46

Record 4
Entry from Alexandria via LeMat-Bulk: crystalline Sc2Se at its relaxed geometry (PBEsol).

Structure (POSCAR):
```
Sc2Se
1.0
3.587 0.000 0.000
-1.793 3.106 0.000
0.000 0.000 5.888
Sc Se
2 1
Direct
0.333 0.667 0.217 Sc
0.667 0.333 0.783 Sc
0.000 0.000 0.500 Se
```

Values from the calculation:
Energy (eV per atom): -6.743
Uncorrected formation energy (meV/atom): -1056
Total magnetic moment (μB/f.u.): 0.00

Record 5
Entry from Alexandria via LeMat-Bulk: crystalline CuIrSe2 at its relaxed geometry (PBEsol).

Structure (POSCAR):
```
CuIrSe2
1.0
4.497 0.000 0.000
0.000 4.497 0.000
0.000 0.000 3.032
Cu Ir Se
1 1 2
Direct
0.000 0.000 0.000 Cu
0.500 0.500 0.000 Ir
0.000 0.500 0.500 Se
0.500 0.000 0.500 Se
```

Values from the calculation:
Energy (eV per atom): -5.120
Uncorrected formation energy (meV/atom): 344
Total magnetic moment (μB/f.u.): 0.00

Record 6
Entry from Alexandria via LeMat-Bulk: crystalline La2CdSe4 at its relaxed geometry (PBEsol).

Structure (POSCAR):
```
La2CdSe4
1.0
-4.368 4.368 4.615
4.368 -4.368 4.615
4.368 4.368 -4.615
La Cd Se
4 2 8
Direct
0.007 0.625 0.882 La
0.375 0.257 0.382 La
0.743 0.125 0.118 La
0.875 0.993 0.618 La
0.250 0.750 0.500 Cd
0.500 0.500 0.000 Cd
0.123 0.386 0.120 Se
0.136 0.373 0.620 Se
0.266 0.003 0.880 Se
0.484 0.864 0.237 Se
0.614 0.734 0.737 Se
0.627 0.247 0.763 Se
0.753 0.516 0.380 Se
0.997 0.877 0.263 Se
```

Values from the calculation:
Energy (eV per atom): -5.438
Uncorrected formation energy (meV/atom): -1539
Total magnetic moment (μB/f.u.): 0.00

Record 7
Entry from Alexandria via LeMat-Bulk: crystalline BaTlAg2 at its relaxed geometry (PBEsol).

Structure (POSCAR):
```
BaTlAg2
1.0
4.795 0.000 0.000
-2.398 4.153 0.000
0.000 0.000 16.893
Ba Tl Ag
3 3 6
Direct
0.000 0.000 0.000 Ba
0.333 0.667 0.667 Ba
0.667 0.333 0.333 Ba
0.000 0.000 0.796 Tl
0.333 0.667 0.462 Tl
0.667 0.333 0.129 Tl
0.000 0.000 0.202 Ag
0.000 0.000 0.525 Ag
0.333 0.667 0.192 Ag
0.333 0.667 0.869 Ag
0.667 0.333 0.536 Ag
0.667 0.333 0.859 Ag
```

Values from the calculation:
Energy (eV per atom): -3.031
Calculated formation energy (eV/f.u.): -0.72
Total magnetic moment (μB/f.u.): 0.00
Polymorph energy (0 for the lowest one) (eV per formula unit): 0.00

Record 8
Entry from Alexandria via LeMat-Bulk: crystalline AgPt3W at its relaxed geometry (PBEsol).

Structure (POSCAR):
```
AgPt3W
1.0
4.778 0.000 0.000
0.000 4.778 0.000
0.000 0.000 4.778
Ag Pt W
1 3 1
Direct
0.000 0.000 0.000 Ag
0.000 0.500 0.500 Pt
0.500 0.000 0.500 Pt
0.500 0.500 0.000 Pt
0.500 0.500 0.500 W
```

Values from the calculation:
Energy (eV per atom): -6.305
Calculated formation energy (eV/f.u.): 6.49
Total magnetic moment (μB/f.u.): 0.00

Record 9
Entry from Alexandria via LeMat-Bulk: crystalline NaNiS2N at its relaxed geometry (PBEsol).

Structure (POSCAR):
```
NaNiS2N
1.0
4.793 0.000 0.000
0.000 4.793 0.000
0.000 0.000 4.088
Na Ni S N
1 1 2 1
Direct
0.000 0.000 0.000 Na
0.500 0.500 0.500 Ni
0.000 0.500 0.000 S
0.500 0.000 0.000 S
0.000 0.000 0.500 N
```

Values from the calculation:
Energy (eV per atom): -3.128
Uncorrected formation energy (meV/atom): 1843
Total magnetic moment (μB/f.u.): 4.48

Record 10
Entry from Alexandria via LeMat-Bulk: crystalline LaZrSN2 at its relaxed geometry (PBEsol).

Structure (POSCAR):
```
LaZrSN2
1.0
4.192 0.000 0.000
0.000 4.192 0.000
0.000 0.000 4.964
La Zr S N
1 1 1 2
Direct
0.000 0.000 0.000 La
0.500 0.500 0.500 Zr
0.500 0.500 0.000 S
0.000 0.500 0.500 N
0.500 0.000 0.500 N
```

Values from the calculation:
Energy (eV per atom): -8.296
Uncorrected formation energy (meV/atom): -1121
Total magnetic moment (μB/f.u.): 0.18

Record 11
Entry from Alexandria via LeMat-Bulk: crystalline Cr3Re at its relaxed geometry (PBEsol).

Structure (POSCAR):
```
Cr3Re
1.0
2.708 0.000 0.000
-1.354 2.345 0.000
0.000 0.000 23.362
Cr Re
9 3
Direct
0.000 0.000 0.000 Cr
0.000 0.000 0.257 Cr
0.000 0.000 0.743 Cr
0.333 0.667 0.410 Cr
0.333 0.667 0.667 Cr
0.333 0.667 0.923 Cr
0.667 0.333 0.077 Cr
0.667 0.333 0.333 Cr
0.667 0.333 0.590 Cr
0.000 0.000 0.500 Re
0.333 0.667 0.167 Re
0.667 0.333 0.833 Re
```

Values from the calculation:
Energy (eV per atom): -10.710
Calculated formation energy (eV/f.u.): 1.22
Total magnetic moment (μB/f.u.): 0.00

Record 12
Entry from Alexandria via LeMat-Bulk: crystalline Li2ZrMo at its relaxed geometry (PBEsol).

Structure (POSCAR):
```
Li2ZrMo
1.0
3.047 0.000 0.000
0.000 4.360 0.000
0.000 0.000 10.441
Li Zr Mo
4 2 2
Direct
0.000 0.000 0.238 Li
0.000 0.000 0.762 Li
0.500 0.500 0.262 Li
0.500 0.500 0.738 Li
0.000 0.500 0.000 Zr
0.500 0.000 0.500 Zr
0.000 0.500 0.500 Mo
0.500 0.000 0.000 Mo
```

Values from the calculation:
Energy (eV per atom): -5.881
Calculated formation energy (eV/f.u.): 1.27
Total magnetic moment (μB/f.u.): 0.00
Polymorph energy (0 for the lowest one) (eV per formula unit): 0.00